Ca3Ga4Ir2: optimized geometry, PBE.

Magnetic moment, μB per formula unit: 0.0
Total energy, eV per atom: -4.528
Energy above the lowest structure with this stoichiometry, meV/atom: 19

a b c (Å): 10.7897 4.4142 8.3972
angles (deg): 90.00 105.06 90.00
Space group C2/m (No. 12)
One atom of each set of equivalent atoms:
Ca 0.0000 0.0000 0.0000
Ca 0.1175 0.5000 0.6935
Ga 0.1033 0.0000 0.4124
Ga 0.2235 0.5000 0.0771
Ir 0.1889 0.5000 0.3568